#P
A plane-wave DFT calculation with PBE was carried out for a geometry-optimized LiScCu3 structure.

Magnetization: 0.00 Bohr magnetons per cell
Crystal system: cubic

abc: 4.2056 4.2056 4.2056
angles: 90.00 90.00 90.00
Last column: nearest neighbours and their distance in Å.
Fractional coordinates of all 5 atoms:
Sc  0.5000  0.5000  0.5000  12 Cu 2.97
Cu  0.0000  0.5000  0.0000  2 Li 2.10
Cu  0.0000  0.0000  0.5000  2 Li 2.10
Cu  0.5000  0.0000  0.0000  2 Li 2.10
Li  0.0000  0.0000  0.0000  6 Cu 2.10

***

#Q
A plane-wave DFT calculation with PBE was carried out for a geometry-optimized LiScCu3 structure.

Magnetization: 0.00 Bohr magnetons per cell
Crystal system: cubic

abc: 4.8910 4.8910 4.8910
angles: 90.00 90.00 90.00
Last column: nearest neighbours and their distance in Å.
Fractional coordinates of all 5 atoms:
Sc  0.0000  0.0000  0.0000  6 Cu 2.45
Cu  0.0000  0.5000  0.0000  2 Sc 2.45
Cu  0.0000  0.0000  0.5000  2 Sc 2.45
Cu  0.5000  0.0000  0.0000  2 Sc 2.45
Li  0.5000  0.5000  0.5000  12 Cu 3.46

***

In terms of stability, #P leads; the second structure lies 57.3 kJ/mol of atoms higher.